No. 1
Crystalline BaAl2Cd at its relaxed geometry, computed with PBE.

abc: 5.3847 5.3847 4.9035
angles: 116.54 116.54 92.36
Fractional positions:
Ba  0.0000  0.0000  0.0000
Al  0.5287  0.4713  0.0000
Al  0.7181  0.2819  0.5000
Cd  0.2869  0.7131  0.5000

Properties
Energy ... -2.562 eV per atom
Size of the total moment ... 0.0000 μB per atom
N(E_F) ... 1.52 states/eV per cell
DFT formation energy ... 0.1 eV per formula unit
Mass density ... 4.647 g/cm3

***

No. 2
Crystalline Dy4Er8Th at its relaxed geometry, computed with PBE.

abc: 11.2550 11.2550 11.2550
angles: 35.31 35.31 35.31
Fractional positions:
Dy  0.0000  0.0000  0.0000
Dy  0.0000  0.5000  0.5000
Dy  0.5000  0.0000  0.5000
Dy  0.5000  0.5000  0.0000
Er  0.2007  0.2007  0.2007
Er  0.2383  0.7488  0.7488
Er  0.2512  0.2512  0.7617
Er  0.2512  0.7617  0.2512
Er  0.7488  0.2383  0.7488
Er  0.7488  0.7488  0.2383
Er  0.7617  0.2512  0.2512
Er  0.7993  0.7993  0.7993
Th  0.5000  0.5000  0.5000

Properties
Energy ... -4.503 eV per atom
Size of the total moment ... 0.0005 μB per atom
N(E_F) ... 15.73 states/eV per cell
DFT formation energy ... 3.8 eV per formula unit
Mass density ... 8.662 g/cm3

***

No. 3
Crystalline Li8PSe6 at its relaxed geometry, computed with PBE.

abc: 7.5607 7.5607 7.5607
angles: 122.36 122.36 85.96
Fractional positions:
Li  0.0079  0.3627  0.9977
Li  0.0698  0.6191  0.8185
Li  0.3650  0.0102  0.0023
Li  0.3809  0.1994  0.4508
Li  0.6373  0.6350  0.6453
Li  0.7486  0.9302  0.5492
Li  0.8006  0.2514  0.1815
Li  0.9898  0.9921  0.3547
P  0.5000  0.5000  0.0000
Se  0.0000  0.0000  0.0000
Se  0.3466  0.6007  0.7143
Se  0.3676  0.6534  0.2540
Se  0.3993  0.1136  0.7460
Se  0.7500  0.2500  0.5000
Se  0.8864  0.6324  0.2857

Properties
Energy ... -3.736 eV per atom
Size of the total moment ... 0.0000 μB per atom
N(E_F) ... 2.08 states/eV per cell
Formation energy without anion corrections ... -14.41 eV/f.u.
Mass density ... 3.165 g/cm3

***

No. 4
Crystalline La3Nd3Ho2 at its relaxed geometry, computed with PBE.

abc: 8.9471 8.9471 6.1061
angles: 109.84 109.84 38.26
Fractional positions:
La  0.0000  0.0000  0.0000
La  0.1350  0.1350  0.5792
La  0.8650  0.8650  0.4208
Nd  0.3640  0.3640  0.8096
Nd  0.5000  0.5000  0.5000
Nd  0.6360  0.6360  0.1904
Ho  0.2510  0.2510  0.1829
Ho  0.7490  0.7490  0.8171

Properties
Energy ... -4.711 eV per atom
Size of the total moment ... 0.0000 μB per atom
N(E_F) ... 13.02 states/eV per cell
DFT formation energy ... 0.6 eV per formula unit
Mass density ... 6.933 g/cm3

***

No. 5
Crystalline Pm8Ir2Ru at its relaxed geometry, computed with PBE.

abc: 7.5607 7.5607 6.6759
angles: 104.51 104.51 69.94
Fractional positions:
Pm  0.0739  0.0739  0.2790
Pm  0.1365  0.5497  0.2563
Pm  0.3687  0.3687  0.7697
Pm  0.4503  0.8635  0.7437
Pm  0.5497  0.1365  0.2563
Pm  0.6313  0.6313  0.2303
Pm  0.8635  0.4503  0.7437
Pm  0.9261  0.9261  0.7210
Ir  0.1812  0.1812  0.9582
Ir  0.8188  0.8188  0.0418
Ru  0.5000  0.5000  0.5000

Properties
Energy ... -6.237 eV per atom
Size of the total moment ... 0.0000 μB per atom
Polymorph energy (0 for the lowest one) ... 9 meV/atom
N(E_F) ... 9.68 states/eV per cell
DFT formation energy ... -3.6 eV per formula unit
Mass density ... 8.006 g/cm3

***

No. 6
Crystalline ZrScHg3 at its relaxed geometry, computed with PBE.

abc: 5.4219 5.4219 5.4219
angles: 90.00 90.00 90.00
Fractional positions:
Zr  0.0000  0.0000  0.0000
Sc  0.5000  0.5000  0.5000
Hg  0.0000  0.0000  0.5000
Hg  0.0000  0.5000  0.0000
Hg  0.5000  0.0000  0.0000

Properties
Energy ... -2.503 eV per atom
Size of the total moment ... 0.4151 μB per atom
Polymorph energy (0 for the lowest one) ... 848 meV/atom
N(E_F) ... 6.46 states/eV per cell
DFT formation energy ... 3.3 eV per formula unit
Mass density ... 7.688 g/cm3

***

No. 7
Crystalline La2Tl2Ru at its relaxed geometry, computed with PBE.

abc: 7.5142 7.5142 4.8684
angles: 90.00 90.00 90.00
Fractional positions:
La  0.1672  0.3328  0.0000
La  0.3328  0.8328  0.0000
La  0.6672  0.1672  0.0000
La  0.8328  0.6672  0.0000
Tl  0.1450  0.6450  0.5000
Tl  0.3550  0.1450  0.5000
Tl  0.6450  0.8550  0.5000
Tl  0.8550  0.3550  0.5000
Ru  0.0000  0.0000  0.5000
Ru  0.5000  0.5000  0.5000

Properties
Energy ... -4.768 eV per atom
Size of the total moment ... 0.0000 μB per atom
N(E_F) ... 14.81 states/eV per cell
DFT formation energy ... 0.0 eV per formula unit
Mass density ... 9.516 g/cm3

***

No. 8
Crystalline DyEr2ScTe6 at its relaxed geometry, computed with PBE.

abc: 8.1776 8.1776 8.1776
angles: 55.08 55.08 55.08
Fractional positions:
Dy  0.0000  0.0000  0.0000
Er  0.3147  0.3147  0.3147
Er  0.8164  0.8164  0.8164
Sc  0.4982  0.4982  0.4982
Te  0.1023  0.7219  0.4076
Te  0.2363  0.5922  0.8940
Te  0.4076  0.1023  0.7219
Te  0.5922  0.8940  0.2363
Te  0.7219  0.4076  0.1023
Te  0.8940  0.2363  0.5922

Properties
Energy ... -5.195 eV per atom
Size of the total moment ... 0.0000 μB per atom
Formation energy without anion corrections ... -13.04 eV/f.u.
Mass density ... 6.342 g/cm3

***

No. 9
Crystalline Li6IrC at its relaxed geometry, computed with PBE.

abc: 4.9758 4.9758 6.8754
angles: 100.61 100.61 46.20
Fractional positions:
Li  0.0667  0.0667  0.2286
Li  0.2290  0.2290  0.6285
Li  0.3683  0.3683  0.1115
Li  0.6317  0.6317  0.8885
Li  0.7710  0.7710  0.3715
Li  0.9333  0.9333  0.7714
Ir  0.5000  0.5000  0.5000
C  0.0000  0.0000  0.5000

Properties
Energy ... -3.799 eV per atom
Size of the total moment ... 0.0000 μB per atom
N(E_F) ... 2.51 states/eV per cell
DFT formation energy ... -0.8 eV per formula unit
Mass density ... 3.391 g/cm3

***

No. 10
Crystalline K4Cd4Ag at its relaxed geometry, computed with PBE.

abc: 9.8483 9.8483 6.7478
angles: 90.00 90.00 90.00
Fractional positions:
K  0.0612  0.6736  0.1113
K  0.1736  0.9388  0.6113
K  0.3264  0.5612  0.6113
K  0.4388  0.8264  0.1113
K  0.5612  0.1736  0.8887
K  0.6736  0.4388  0.3887
K  0.8264  0.0612  0.3887
K  0.9388  0.3264  0.8887
Cd  0.0867  0.3254  0.3985
Cd  0.1746  0.0867  0.1015
Cd  0.3254  0.4133  0.1015
Cd  0.4133  0.1746  0.3985
Cd  0.5867  0.8254  0.6015
Cd  0.6746  0.5867  0.8985
Cd  0.8254  0.9133  0.8985
Cd  0.9133  0.6746  0.6015
Ag  0.2500  0.2500  0.7500
Ag  0.7500  0.7500  0.2500

Properties
Energy ... -1.232 eV per atom
Size of the total moment ... 0.0000 μB per atom
N(E_F) ... 9.49 states/eV per cell
DFT formation energy ... -0.2 eV per formula unit
Mass density ... 3.623 g/cm3

***

No. 11
Crystalline PrEr2Zn at its relaxed geometry, computed with PBE.

abc: 6.2041 6.2041 6.2041
angles: 47.31 47.31 47.31
Fractional positions:
Pr  0.0000  0.0000  0.0000
Er  0.5543  0.5543  0.5543
Er  0.7870  0.7870  0.7870
Zn  0.2062  0.2062  0.2062

Properties
Energy ... -3.724 eV per atom
Size of the total moment ... 0.0000 μB per atom
Polymorph energy (0 for the lowest one) ... 237 meV/atom
N(E_F) ... 5.12 states/eV per cell
DFT formation energy ... 0.3 eV per formula unit
Mass density ... 7.609 g/cm3

***

No. 12
Crystalline LiTcIr2 at its relaxed geometry, computed with PBE.

abc: 8.9531 8.9531 8.9531
angles: 17.65 17.65 17.65
Fractional positions:
Li  0.0000  0.0000  0.0000
Tc  0.5000  0.5000  0.5000
Ir  0.2480  0.2480  0.2480
Ir  0.7520  0.7520  0.7520

Properties
Energy ... -7.565 eV per atom
Size of the total moment ... 0.0022 μB per atom
Polymorph energy (0 for the lowest one) ... 50 meV/atom
N(E_F) ... 7.45 states/eV per cell
DFT formation energy ... -0.3 eV per formula unit
Mass density ... 14.105 g/cm3

***

Q: Look up the mass density of the tenth one.
A: 3.623 g/cm3

***

Q: What is the formula in the fifth record?
A: Pm8Ir2Ru